1.
DFT (PBE) results for a relaxed structure of PmSmErTl.

```
PmSmErTl
1.0
-1.2530 -2.9844 4.4726
3.7843 -3.3376 2.2406
2.2510 1.2625 4.8805
Tl Pm Sm Er
1 1 1 1
direct
0.0000 0.0000 0.0000
0.5000 0.5000 0.5000
0.7500 0.7500 0.7500
0.2500 0.2500 0.2500
```

Calculated values
excess energy over the best structure of this formula in the dataset = 174 meV/atom

=====

2.
DFT (PBE) results for a relaxed structure of Pm6Sm3Er2Tl.

```
Pm6Sm3Er2Tl
1.0
6.2422 -0.0110 0.0089
-3.1291 5.4012 0.0089
-1.0797 -1.8695 11.6031
Pm Sm Er Tl
6 3 2 1
direct
0.9199 0.5921 0.7559
0.7531 0.7531 0.2465
0.0801 0.4079 0.2441
0.5921 0.9199 0.7559
0.2469 0.2469 0.7535
0.4079 0.0801 0.2441
0.1683 0.8317 0.5000
0.8317 0.1683 0.5000
0.5000 0.5000 0.5000
0.3342 0.6658 0.0000
0.6658 0.3342 0.0000
0.0000 0.0000 0.0000
```

=====

3.
DFT (PBE) results for a relaxed structure of Pm2Sm6Er3Tl.

```
Pm2Sm6Er3Tl
1.0
6.1698 -0.0058 0.0015
-3.0884 5.3412 0.0015
-1.0363 -1.7943 11.6346
Pm Sm Er Tl
2 6 3 1
direct
0.3340 0.6660 0.0000
0.6660 0.3340 0.0000
0.9163 0.5890 0.7483
0.7566 0.7566 0.2529
0.0837 0.4110 0.2517
0.5890 0.9163 0.7483
0.2434 0.2434 0.7471
0.4110 0.0837 0.2517
0.1670 0.8330 0.5000
0.8330 0.1670 0.5000
0.5000 0.5000 0.5000
0.0000 0.0000 0.0000
```

=====

4.
DFT (PBE) results for a relaxed structure of PmSmErTl.

```
PmSmErTl
1.0
-3.4603 -1.8044 3.0872
3.4960 -1.7919 2.8711
0.0708 4.1744 2.5192
Pm Sm Er Tl
1 1 1 1
direct
0.0000 0.0000 0.0000
0.0000 0.5000 0.5000
0.5000 0.5000 0.0000
0.5000 0.0000 0.5000
```

Calculated values
excess energy over the best structure of this formula in the dataset = 0 meV/atom

=====

no.,DFT total energy (eV per atom),energy of formation (eV/f.u.)
1,-4.114,-0.1
2,-4.520,-0.1
3,-4.514,-0.3
4,-4.288,-0.8